(one)
VASP calculation (GGA-PBE) on a geometry-optimized RbBePd structure.

Results
**Crystal system**: cubic
**Volume**: 79 Å³/f.u.

Structure (CIF):
```
data_RbBePd
_chemical_formula_sum 'Rb4 Be4 Pd4'
_cell_length_a 6.814
_cell_length_b 6.814
_cell_length_c 6.814
_cell_angle_alpha 90.00
_cell_angle_beta 90.00
_cell_angle_gamma 90.00
_space_group_name_H-M_alt 'F -4 3 m'
_space_group_IT_number 216
_space_group_name_Hall 'F -4 2 3'
loop_
_atom_site_label
_atom_site_fract_x
_atom_site_fract_y
_atom_site_fract_z
Rb1 0.000 0.000 0.000
Be1 0.000 0.000 0.500
Pd1 0.250 0.250 0.750
```

(two)
VASP calculation (GGA-PBE) on a geometry-optimized RbBePd structure.

Results
**Crystal system**: cubic
**Volume**: 75 Å³/f.u.

Structure (CIF):
```
data_RbBePd
_chemical_formula_sum 'Rb4 Be4 Pd4'
_cell_length_a 6.696
_cell_length_b 6.696
_cell_length_c 6.696
_cell_angle_alpha 90.00
_cell_angle_beta 90.00
_cell_angle_gamma 90.00
_space_group_name_H-M_alt 'F -4 3 m'
_space_group_IT_number 216
_space_group_name_Hall 'F -4 2 3'
loop_
_atom_site_label
_atom_site_fract_x
_atom_site_fract_y
_atom_site_fract_z
Rb1 0.000 0.000 0.000
Be1 0.250 0.250 0.750
Pd1 0.000 0.000 0.500
```

Least stable structure: (two)

(one)
VASP calculation (GGA-PBE) on a geometry-optimized RbBeSbPd structure.

Results
**Crystal system**: cubic
**Volume**: 87 Å³/f.u.

Structure (CIF):
```
data_RbBeSbPd
_chemical_formula_sum 'Rb4 Be4 Sb4 Pd4'
_cell_length_a 7.043
_cell_length_b 7.043
_cell_length_c 7.043
_cell_angle_alpha 90.00
_cell_angle_beta 90.00
_cell_angle_gamma 90.00
_space_group_name_H-M_alt 'F -4 3 m'
_space_group_IT_number 216
_space_group_name_Hall 'F -4 2 3'
loop_
_atom_site_label
_atom_site_fract_x
_atom_site_fract_y
_atom_site_fract_z
Rb1 0.000 0.000 0.000
Be1 0.250 0.250 0.750
Sb1 0.000 0.000 0.500
Pd1 0.250 0.250 0.250
```

(two)
VASP calculation (GGA-PBE) on a geometry-optimized RbBeSbPd structure.

Results
**Crystal system**: cubic
**Volume**: 91 Å³/f.u.

Structure (CIF):
```
data_RbBeSbPd
_chemical_formula_sum 'Rb4 Be4 Sb4 Pd4'
_cell_length_a 7.143
_cell_length_b 7.143
_cell_length_c 7.143
_cell_angle_alpha 90.00
_cell_angle_beta 90.00
_cell_angle_gamma 90.00
_space_group_name_H-M_alt 'F -4 3 m'
_space_group_IT_number 216
_space_group_name_Hall 'F -4 2 3'
loop_
_atom_site_label
_atom_site_fract_x
_atom_site_fract_y
_atom_site_fract_z
Rb1 0.000 0.000 0.000
Be1 0.000 0.000 0.500
Sb1 0.250 0.250 0.250
Pd1 0.250 0.250 0.750
```

Least stable structure: (two)

(one)
VASP calculation (GGA-PBE) on a geometry-optimized ScBeTlPd structure.

Results
**Crystal system**: cubic
**Volume**: 69 Å³/f.u.

Structure (CIF):
```
data_ScBeTlPd
_chemical_formula_sum 'Sc4 Be4 Tl4 Pd4'
_cell_length_a 6.514
_cell_length_b 6.514
_cell_length_c 6.514
_cell_angle_alpha 90.00
_cell_angle_beta 90.00
_cell_angle_gamma 90.00
_space_group_name_H-M_alt 'F -4 3 m'
_space_group_IT_number 216
_space_group_name_Hall 'F -4 2 3'
loop_
_atom_site_label
_atom_site_fract_x
_atom_site_fract_y
_atom_site_fract_z
Sc1 0.000 0.000 0.000
Be1 0.000 0.000 0.500
Tl1 0.250 0.250 0.750
Pd1 0.250 0.250 0.250
```

(two)
VASP calculation (GGA-PBE) on a geometry-optimized ScBeTlPd structure.

Results
**Crystal system**: cubic
**Volume**: 68 Å³/f.u.

Structure (CIF):
```
data_ScBeTlPd
_chemical_formula_sum 'Sc4 Be4 Tl4 Pd4'
_cell_length_a 6.493
_cell_length_b 6.493
_cell_length_c 6.493
_cell_angle_alpha 90.00
_cell_angle_beta 90.00
_cell_angle_gamma 90.00
_space_group_name_H-M_alt 'F -4 3 m'
_space_group_IT_number 216
_space_group_name_Hall 'F -4 2 3'
loop_
_atom_site_label
_atom_site_fract_x
_atom_site_fract_y
_atom_site_fract_z
Sc1 0.000 0.000 0.000
Be1 0.250 0.250 0.250
Tl1 0.250 0.250 0.750
Pd1 0.000 0.000 0.500
```

(three)
VASP calculation (GGA-PBE) on a geometry-optimized ScBeTlPd structure.

Results
**Crystal system**: cubic
**Volume**: 68 Å³/f.u.

Structure (CIF):
```
data_ScBeTlPd
_chemical_formula_sum 'Sc4 Be4 Tl4 Pd4'
_cell_length_a 6.491
_cell_length_b 6.491
_cell_length_c 6.491
_cell_angle_alpha 90.00
_cell_angle_beta 90.00
_cell_angle_gamma 90.00
_space_group_name_H-M_alt 'F -4 3 m'
_space_group_IT_number 216
_space_group_name_Hall 'F -4 2 3'
loop_
_atom_site_label
_atom_site_fract_x
_atom_site_fract_y
_atom_site_fract_z
Sc1 0.000 0.000 0.000
Be1 0.250 0.250 0.250
Tl1 0.000 0.000 0.500
Pd1 0.250 0.250 0.750
```

Least stable structure: (two)